The following is a GGA-PBE calculation of a relaxed AcDyYTl crystal, from Alexandria via LeMat-Bulk.

It has space group F-43m (No. 216), with a = 7.967 Å, b = 7.967 Å, c = 7.967 Å, α = 90.00°, β = 90.00° and γ = 90.00°. The inequivalent atoms are Ac at (0.000, 0.000, 0.000), Dy at (0.250, 0.250, 0.750), Y at (0.250, 0.250, 0.250) and Tl at (0.000, 0.000, 0.500).

The total energy is -4.340 eV per atom. As for the density of states at the Fermi level: 1.69 states/eV per atom. The calculation puts the calculated formation energy at 45.0 meV/atom. The total magnetic moment is 1.230 μB/f.u.